# BaB3Pt9

An optimized crystal structure of BaB3Pt9 (PBE, Alexandria via LeMat-Bulk).

Properties
The value obtained for the formation energy is -0.304 eV per atom. For the total DFT energy (no corrections), the calculation gives -80.3 eV per formula unit. Its theoretical density is 14.18 g cm⁻³.

Lattice parameters (Å, degrees): 4.5892 7.5329 7.5330 120.00 90.00 90.00
Sites, in units of the cell vectors:
Pt  0.9801  0.4646  0.9292
Pt  0.9801  0.0708  0.5354
Pt  0.4838  0.5868  0.7934
Pt  0.6281  0.7932  0.5865
Pt  0.4838  0.2066  0.4132
Pt  0.6281  0.7933  0.2068
Pt  0.9801  0.4646  0.5354
Pt  0.4838  0.2066  0.7934
Pt  0.6281  0.4135  0.2068
B  0.3882  0.9592  0.4796
B  0.3882  0.5204  0.4796
B  0.3882  0.5204  0.0408
Ba  0.0597  0.0000  0.0000